Sm2Ho4Th5 | Alexandria via LeMat-Bulk | PBE | optimized geometry; D(E_F) = 1.594 states/eV/atom; volume = 32.36 Å³/atom; calculated density = 9892 kg/m3; calculated formation energy = 0.131 eV/atom; space group = No. 10
1.0
8.8019 0.0000 0.0000
0.0000 3.4711 0.0000
-0.8873 0.0000 11.6516
Sm Ho Th
2 4 5
Direct
0.0554 0.0000 0.1359 Sm
0.9446 0.0000 0.8641 Sm
0.1594 0.5000 0.4039 Ho
0.3019 0.5000 0.9456 Ho
0.6981 0.5000 0.0544 Ho
0.8406 0.5000 0.5961 Ho
0.2034 0.0000 0.6744 Th
0.4234 0.0000 0.2121 Th
0.5000 0.0000 0.5000 Th
0.5766 0.0000 0.7879 Th
0.7966 0.0000 0.3256 Th

KCeAg2I8 | Alexandria via LeMat-Bulk | PBE | optimized geometry; D(E_F) = 1.191 states/eV/atom; volume = 45.66 Å³/atom; calculated density = 4274 kg/m3; raw formation energy = -68 kJ/mol of atoms; space group = No. 119
1.0
-5.3244 5.3244 4.8318
5.3244 -5.3244 4.8318
5.3244 5.3244 -4.8318
K Ce Ag I
1 1 2 8
Direct
0.0000 0.0000 0.0000 K
0.2500 0.7500 0.5000 Ce
0.5000 0.5000 0.0000 Ag
0.7500 0.2500 0.5000 Ag
0.3171 0.1077 0.7906 I
0.3171 0.5266 0.2094 I
0.3590 0.0313 0.3277 I
0.4734 0.6829 0.7906 I
0.7035 0.0313 0.6723 I
0.8923 0.6829 0.2094 I
0.9687 0.2965 0.3277 I
0.9687 0.6410 0.6723 I

CuNiPt3 | Alexandria via LeMat-Bulk | PBE | optimized geometry; D(E_F) = 2.178 states/eV/atom; volume = 18.67 Å³/atom; calculated density = 12588 kg/m3; calculated formation energy = 1.071 eV/atom; space group = No. 221
1.0
4.5360 0.0000 0.0000
0.0000 4.5360 0.0000
0.0000 0.0000 4.5360
Cu Ni Pt
1 1 3
Direct
0.0000 0.0000 0.0000 Cu
0.5000 0.5000 0.5000 Ni
0.0000 0.5000 0.5000 Pt
0.5000 0.0000 0.5000 Pt
0.5000 0.5000 0.0000 Pt

In3SeF | Alexandria via LeMat-Bulk | PBE | optimized geometry; D(E_F) = 0.380 states/eV/atom; volume = 44.14 Å³/atom; calculated density = 3328 kg/m3; raw formation energy = -11 kJ/mol of atoms; space group = No. 221
1.0
6.0434 0.0000 0.0000
0.0000 6.0434 0.0000
0.0000 0.0000 6.0434
In Se F
3 1 1
Direct
0.0000 0.0000 0.5000 In
0.0000 0.5000 0.0000 In
0.5000 0.0000 0.0000 In
0.0000 0.0000 0.0000 Se
0.5000 0.5000 0.5000 F

NaHgOF2 | Alexandria via LeMat-Bulk | PBE | optimized geometry; D(E_F) = 0.618 states/eV/atom; volume = 17.43 Å³/atom; calculated density = 5289 kg/m3; raw formation energy = -113 kJ/mol of atoms; space group = No. 123
1.0
4.6067 0.0000 0.0000
0.0000 4.6067 0.0000
0.0000 0.0000 4.1068
Na Hg O F
1 1 1 2
Direct
0.0000 0.0000 0.0000 Na
0.5000 0.5000 0.5000 Hg
0.5000 0.5000 0.0000 O
0.0000 0.5000 0.5000 F
0.5000 0.0000 0.5000 F

HoEr | Alexandria via LeMat-Bulk | PBE | optimized geometry; D(E_F) = 1.989 states/eV/atom; volume = 33.31 Å³/atom; calculated density = 8280 kg/m3; calculated formation energy = 0.812 eV/atom; space group = No. 225
1.0
0.0000 3.2175 3.2175
3.2175 0.0000 3.2175
3.2175 3.2175 0.0000
Ho Er
1 1
Direct
0.0000 0.0000 0.0000 Ho
0.5000 0.5000 0.5000 Er

Na3MnV3Se8 | Alexandria via LeMat-Bulk | PBE | optimized geometry; D(E_F) = 0.925 states/eV/atom; volume = 22.29 Å³/atom; calculated density = 4511 kg/m3; raw formation energy = -77 kJ/mol of atoms; space group = No. 166
1.0
3.7143 2.1445 6.9962
-3.7143 2.1445 6.9962
0.0000 -4.2890 6.9962
Na Mn V Se
3 1 3 8
Direct
0.0000 0.5000 0.5000 Na
0.5000 0.0000 0.5000 Na
0.5000 0.5000 0.0000 Na
0.5000 0.5000 0.5000 Mn
0.0000 0.0000 0.5000 V
0.0000 0.5000 0.0000 V
0.5000 0.0000 0.0000 V
0.2338 0.7333 0.7333 Se
0.2351 0.2351 0.2351 Se
0.2667 0.2667 0.7662 Se
0.2667 0.7662 0.2667 Se
0.7333 0.2338 0.7333 Se
0.7333 0.7333 0.2338 Se
0.7649 0.7649 0.7649 Se
0.7662 0.2667 0.2667 Se

RbSb2TeMo | Alexandria via LeMat-Bulk | PBE | optimized geometry; D(E_F) = 3.603 states/eV/atom; volume = 38.14 Å³/atom; calculated density = 4811 kg/m3; raw formation energy = 231 kJ/mol of atoms; space group = No. 123
1.0
5.7040 0.0000 0.0000
0.0000 5.7040 0.0000
0.0000 0.0000 5.8610
Rb Sb Te Mo
1 2 1 1
Direct
0.0000 0.0000 0.0000 Rb
0.0000 0.5000 0.0000 Sb
0.5000 0.0000 0.0000 Sb
0.0000 0.0000 0.5000 Te
0.5000 0.5000 0.5000 Mo

K2Cu2Bi | Alexandria via LeMat-Bulk | PBE | optimized geometry; D(E_F) = 0.394 states/eV/atom; volume = 30.56 Å³/atom; calculated density = 4502 kg/m3; calculated formation energy = 0.436 eV/atom; space group = No. 127
1.0
9.8990 0.0000 0.0000
0.0000 9.8990 0.0000
0.0000 0.0000 3.1189
K Cu Bi
4 4 2
Direct
0.1947 0.3053 0.0000 K
0.3053 0.8053 0.0000 K
0.6947 0.1947 0.0000 K
0.8053 0.6947 0.0000 K
0.0852 0.5852 0.5000 Cu
0.4148 0.0852 0.5000 Cu
0.5852 0.9148 0.5000 Cu
0.9148 0.4148 0.5000 Cu
0.0000 0.0000 0.0000 Bi
0.5000 0.5000 0.0000 Bi

Na2Sn5Au4 | Alexandria via LeMat-Bulk | PBE | optimized geometry; D(E_F) = 0.363 states/eV/atom; volume = 24.44 Å³/atom; calculated density = 8816 kg/m3; calculated formation energy = -0.176 eV/atom; space group = No. 12
1.0
6.4776 -3.1997 0.0000
6.4776 3.1997 0.0000
-6.4677 0.0000 6.4857
Na Sn Au
2 5 4
Direct
0.1972 0.1972 0.1978 Na
0.8028 0.8028 0.8022 Na
0.2559 0.7440 0.3262 Sn
0.2560 0.7441 0.6738 Sn
0.5000 0.5000 0.0000 Sn
0.7440 0.2559 0.3262 Sn
0.7441 0.2560 0.6738 Sn
0.2505 0.2505 0.5758 Au
0.2505 0.2505 0.9264 Au
0.7495 0.7495 0.0736 Au
0.7495 0.7495 0.4242 Au

NiAg5 | Alexandria via LeMat-Bulk | PBE | optimized geometry; D(E_F) = 0.586 states/eV/atom; volume = 16.85 Å³/atom; calculated density = 9825 kg/m3; calculated formation energy = 0.147 eV/atom; space group = No. 38
1.0
4.7031 0.0000 0.0000
0.0000 1.4451 7.4359
0.0000 -1.4451 7.4359
Ni Ag
1 5
Direct
0.0000 0.0000 0.0000 Ni
0.0000 0.3398 0.3398 Ag
0.0000 0.6590 0.6590 Ag
0.5000 0.2221 0.2221 Ag
0.5000 0.5513 0.5513 Ag
0.5000 0.8911 0.8911 Ag

Sr2LiTl12 | Alexandria via LeMat-Bulk | PBE | optimized geometry; D(E_F) = 0.512 states/eV/atom; volume = 31.97 Å³/atom; calculated density = 9123 kg/m3; calculated formation energy = -0.087 eV/atom; space group = No. 125
1.0
6.9036 0.0000 0.0000
0.0000 6.9036 0.0000
0.0000 0.0000 20.1245
Sr Li Tl
4 2 24
Direct
0.2500 0.7500 0.2404 Sr
0.2500 0.7500 0.7596 Sr
0.7500 0.2500 0.2404 Sr
0.7500 0.2500 0.7596 Sr
0.2500 0.7500 0.0000 Li
0.7500 0.2500 0.0000 Li
0.0008 0.5008 0.0832 Tl
0.0008 0.9992 0.9168 Tl
0.0828 0.5828 0.5690 Tl
0.0828 0.9172 0.4310 Tl
0.2500 0.2500 0.1863 Tl
0.2500 0.2500 0.3350 Tl
0.2500 0.2500 0.6650 Tl
0.2500 0.2500 0.8137 Tl
0.4172 0.5828 0.4310 Tl
0.4172 0.9172 0.5690 Tl
0.4992 0.5008 0.9168 Tl
0.4992 0.9992 0.0832 Tl
0.5008 0.0008 0.9168 Tl
0.5008 0.4992 0.0832 Tl
0.5828 0.0828 0.4310 Tl
0.5828 0.4172 0.5690 Tl
0.7500 0.7500 0.1863 Tl
0.7500 0.7500 0.3350 Tl
0.7500 0.7500 0.6650 Tl
0.7500 0.7500 0.8137 Tl
0.9172 0.0828 0.5690 Tl
0.9172 0.4172 0.4310 Tl
0.9992 0.0008 0.0832 Tl
0.9992 0.4992 0.9168 Tl

Zn2CdTc | Alexandria via LeMat-Bulk | PBE | optimized geometry; D(E_F) = 0.603 states/eV/atom; volume = 16.09 Å³/atom; calculated density = 8805 kg/m3; calculated formation energy = 0.233 eV/atom; space group = No. 25
1.0
2.7448 0.0000 0.0000
0.0000 4.1733 0.0000
0.0000 0.0000 5.6179
Zn Cd Tc
2 1 1
Direct
0.0000 0.0000 0.0000 Zn
0.5000 0.5000 0.2647 Zn
0.0000 0.0000 0.5184 Cd
0.5000 0.5000 0.7931 Tc

LaHg3I | Alexandria via LeMat-Bulk | PBE | optimized geometry; D(E_F) = 1.711 states/eV/atom; volume = 36.26 Å³/atom; calculated density = 7947 kg/m3; raw formation energy = 53 kJ/mol of atoms; space group = No. 221
1.0
5.6597 0.0000 0.0000
0.0000 5.6597 0.0000
0.0000 0.0000 5.6597
La Hg I
1 3 1
Direct
0.0000 0.0000 0.0000 La
0.0000 0.5000 0.5000 Hg
0.5000 0.0000 0.5000 Hg
0.5000 0.5000 0.0000 Hg
0.5000 0.5000 0.5000 I

Bi4Pd2Au | Alexandria via LeMat-Bulk | PBE | optimized geometry; D(E_F) = 0.521 states/eV/atom; volume = 25.70 Å³/atom; calculated density = 11497 kg/m3; calculated formation energy = -0.219 eV/atom; space group = No. 166
1.0
2.3208 1.3399 9.6436
-2.3208 1.3399 9.6436
0.0000 -2.6798 9.6436
Bi Pd Au
4 2 1
Direct
0.1157 0.1157 0.1157 Bi
0.2973 0.2973 0.2973 Bi
0.7027 0.7027 0.7027 Bi
0.8843 0.8843 0.8843 Bi
0.4028 0.4028 0.4028 Pd
0.5972 0.5972 0.5972 Pd
0.5000 0.5000 0.5000 Au

SmHo2Tm6Sc | Alexandria via LeMat-Bulk | PBE | optimized geometry; D(E_F) = 1.351 states/eV/atom; volume = 30.39 Å³/atom; calculated density = 8409 kg/m3; calculated formation energy = 0.130 eV/atom; space group = No. 15
1.0
4.4792 -7.3506 0.0000
4.4792 7.3506 0.0000
-1.1036 0.0000 9.2287
Sm Ho Tm Sc
2 4 12 2
Direct
0.0241 0.9759 0.7500 Sm
0.9759 0.0241 0.2500 Sm
0.2017 0.3069 0.5489 Ho
0.3069 0.2017 0.0489 Ho
0.6931 0.7983 0.9511 Ho
0.7983 0.6931 0.4511 Ho
0.0082 0.5638 0.6881 Tm
0.1278 0.7520 0.0574 Tm
0.2480 0.8722 0.4426 Tm
0.2918 0.5085 0.8853 Tm
0.4362 0.9918 0.8119 Tm
0.4915 0.7082 0.6147 Tm
0.5085 0.2918 0.3853 Tm
0.5638 0.0082 0.1881 Tm
0.7082 0.4915 0.1147 Tm
0.7520 0.1278 0.5574 Tm
0.8722 0.2480 0.9426 Tm
0.9918 0.4362 0.3119 Tm
0.4131 0.5869 0.2500 Sc
0.5869 0.4131 0.7500 Sc

HfTc3Rh | Alexandria via LeMat-Bulk | PBE | optimized geometry; D(E_F) = 1.206 states/eV/atom; volume = 20.02 Å³/atom; calculated density = 9543 kg/m3; calculated formation energy = 2.006 eV/atom; space group = No. 221
1.0
4.6435 0.0000 0.0000
0.0000 4.6435 0.0000
0.0000 0.0000 4.6435
Hf Tc Rh
1 3 1
Direct
0.0000 0.0000 0.0000 Hf
0.0000 0.0000 0.5000 Tc
0.0000 0.5000 0.0000 Tc
0.5000 0.0000 0.0000 Tc
0.5000 0.5000 0.5000 Rh

Zn3PdPb2Au12 | Alexandria via LeMat-Bulk | PBE | optimized geometry; D(E_F) = 0.298 states/eV/atom; volume = 22.71 Å³/atom; calculated density = 12512 kg/m3; calculated formation energy = 0.100 eV/atom; space group = No. 166
1.0
4.1894 2.4188 6.7243
-4.1894 2.4188 6.7243
0.0000 -4.8375 6.7243
Zn Pd Pb Au
3 1 2 12
Direct
0.0000 0.5000 0.5000 Zn
0.5000 0.0000 0.5000 Zn
0.5000 0.5000 0.0000 Zn
0.5000 0.5000 0.5000 Pd
0.1223 0.1223 0.1223 Pb
0.8777 0.8777 0.8777 Pb
0.1110 0.6354 0.6354 Au
0.1227 0.1227 0.6287 Au
0.1227 0.6287 0.1227 Au
0.3646 0.3646 0.8890 Au
0.3646 0.8890 0.3646 Au
0.3713 0.8773 0.8773 Au
0.6287 0.1227 0.1227 Au
0.6354 0.1110 0.6354 Au
0.6354 0.6354 0.1110 Au
0.8773 0.3713 0.8773 Au
0.8773 0.8773 0.3713 Au
0.8890 0.3646 0.3646 Au

K2LiSe | Alexandria via LeMat-Bulk | PBE | optimized geometry; D(E_F) = 0.243 states/eV/atom; volume = 47.75 Å³/atom; calculated density = 1427 kg/m3; raw formation energy = -43 kJ/mol of atoms; space group = No. 166
1.0
2.4957 1.4409 8.8521
-2.4957 1.4409 8.8521
0.0000 -2.8818 8.8521
K Li Se
2 1 1
Direct
0.2176 0.2176 0.2176 K
0.7824 0.7824 0.7824 K
0.0000 0.0000 0.0000 Li
0.5000 0.5000 0.5000 Se

Al2V3Cr2 | Alexandria via LeMat-Bulk | PBE | optimized geometry; D(E_F) = 0.996 states/eV/atom; volume = 13.51 Å³/atom; calculated density = 5457 kg/m3; calculated formation energy = -0.128 eV/atom; space group = No. 166
1.0
2.1319 1.2309 6.0066
-2.1319 1.2309 6.0066
0.0000 -2.4617 6.0066
Al V Cr
2 3 2
Direct
0.0760 0.0760 0.0760 Al
0.9240 0.9240 0.9240 Al
0.3505 0.3505 0.3505 V
0.5000 0.5000 0.5000 V
0.6495 0.6495 0.6495 V
0.2177 0.2177 0.2177 Cr
0.7823 0.7823 0.7823 Cr

Ba2LiCaP | Alexandria via LeMat-Bulk | PBE | optimized geometry; D(E_F) = 1.085 states/eV/atom; volume = 45.19 Å³/atom; calculated density = 2592 kg/m3; calculated formation energy = -0.422 eV/atom; space group = No. 123
1.0
6.3666 0.0000 0.0000
0.0000 6.3666 0.0000
0.0000 0.0000 5.5741
Ba Li Ca P
2 1 1 1
Direct
0.0000 0.5000 0.0000 Ba
0.5000 0.0000 0.0000 Ba
0.0000 0.0000 0.5000 Li
0.5000 0.5000 0.5000 Ca
0.5000 0.5000 0.0000 P

CeNdLu | Alexandria via LeMat-Bulk | PBE | optimized geometry; D(E_F) = 2.219 states/eV/atom; volume = 31.13 Å³/atom; calculated density = 8166 kg/m3; calculated formation energy = 0.077 eV/atom; space group = No. 156
1.0
3.5245 0.0000 0.0000
-1.7622 3.0523 0.0000
0.0000 0.0000 8.6819
Ce Nd Lu
1 1 1
Direct
0.0000 0.0000 0.0000 Ce
0.6667 0.3333 0.3370 Nd
0.3333 0.6667 0.6777 Lu

Zr2TlH | Alexandria via LeMat-Bulk | PBE | optimized geometry; D(E_F) = 0.585 states/eV/atom; volume = 19.42 Å³/atom; calculated density = 8290 kg/m3; total energy = -5.357 eV per atom; space group = No. 225
1.0
0.0000 3.3866 3.3866
3.3866 0.0000 3.3866
3.3866 3.3866 0.0000
Zr Tl H
2 1 1
Direct
0.2500 0.2500 0.2500 Zr
0.7500 0.7500 0.7500 Zr
0.0000 0.0000 0.0000 Tl
0.5000 0.5000 0.5000 H

ScTlHSe2 | Alexandria via LeMat-Bulk | PBE | optimized geometry; D(E_F) = 0.900 states/eV/atom; volume = 32.38 Å³/atom; calculated density = 4188 kg/m3; total energy = -2.883 eV per atom; space group = No. 123
1.0
5.4103 0.0000 0.0000
0.0000 5.4103 0.0000
0.0000 0.0000 5.5306
Sc Tl H Se
1 1 1 2
Direct
0.0000 0.0000 0.0000 Sc
0.0000 0.0000 0.5000 Tl
0.5000 0.5000 0.0000 H
0.0000 0.5000 0.5000 Se
0.5000 0.0000 0.5000 Se